A plane-wave DFT calculation with PBE was carried out for crystalline NbPtN2O at its relaxed geometry.

As for the energy relative to the elements, uncorrected: 0.42 eV/atom. The electronic total energy comes out at -7.1264 eV/atom. The space-group type is P4/mmm (123). The density of states at the Fermi level is 5.7 states/eV/cell. Its spin magnetization is 0.00 Bohr magnetons per cell.

a b c (Å): 4.1626 4.1626 3.8402
angles (deg): 90.00 90.00 90.00
With the nearest neighbours (Å) after each atom.
Atoms (fractional coordinates):
Nb 0.0000 0.0000 0.0000  2 O 1.92, 4 N 2.08
Pt 0.5000 0.5000 0.5000  8 N 2.83, 4 O 2.94
N 0.0000 0.5000 0.0000  2 Nb 2.08
N 0.5000 0.0000 0.0000  2 Nb 2.08
O 0.0000 0.0000 0.5000  2 Nb 1.92